# CoPt3O6 (PBE with a Hubbard U, optimized geometry)
# - DFT total energy: -118.35 eV/cell
# - Crystal system: orthorhombic
data_CoPt3O6
_cell_length_a 7.081
_cell_length_b 9.959
_cell_length_c 3.192
_cell_angle_alpha 90.00
_cell_angle_beta 90.00
_cell_angle_gamma 90.00
_space_group_name_H-M_alt 'C m m m'
_space_group_IT_number 65
_space_group_name_Hall '-C 2 2'
loop_
_atom_site_label
_atom_site_type_symbol
_atom_site_fract_x
_atom_site_fract_y
_atom_site_fract_z
Co1 Co 0.000 0.000 0.000
Pt1 Pt 0.000 0.500 0.000
Pt2 Pt 0.250 0.250 0.500
O1 O 0.000 0.147 0.500
O2 O 0.215 0.374 0.000